Below is crystalline TbBeInCu at its relaxed geometry, with properties calculated at the GGA-PBE level.

Cell lengths 6.5668, 6.5668, 6.5668 Å; angles 90.00, 90.00, 90.00 degrees
Space group F-43m (No. 216)
One atom of each set of equivalent atoms:
1 Tb 0.0000 0.0000 0.0000 [4 per cell]
2 Be 0.2500 0.2500 0.2500 [4 per cell]
3 In 0.0000 0.0000 0.5000 [4 per cell]
4 Cu 0.2500 0.2500 0.7500 [4 per cell]

The formation energy comes out at -0.15 eV/atom.